Here is a relaxed structure of Ta2Ge2B from Alexandria. Energies are from PBE.

a = 4.1649 Å, b = 4.1649 Å, c = 11.0685 Å
α = 90.00°, β = 90.00°, γ = 90.00°
Last column: nearest neighbours and their distance in Å.
Atoms (fractional coordinates):
1 Ta 0.0000 0.5000 0.2500  4 Ge 2.62
2 Ta 0.0000 0.5000 0.7500  4 Ge 2.62
3 Ta 0.5000 0.0000 0.2500  4 Ge 2.62
4 Ta 0.5000 0.0000 0.7500  4 Ge 2.62
5 Ge 0.0000 0.0000 0.1063  1 Ge 2.35, 4 Ta 2.62
6 Ge 0.0000 0.0000 0.8937  1 Ge 2.35, 4 Ta 2.62
7 Ge 0.5000 0.5000 0.3937  1 Ge 2.35, 4 Ta 2.62
8 Ge 0.5000 0.5000 0.6063  1 Ge 2.35, 4 Ta 2.62
9 B 0.0000 0.0000 0.5000  8 Ge 3.17, 8 Ta 3.46
10 B 0.5000 0.5000 0.0000  8 Ge 3.17, 8 Ta 3.46

Computed properties:
For the formation energy, the calculation gives 1.1110 eV/atom. The total energy is -68.12 eV/cell. The symmetry is I4/mmm (139). For the relative energy among the computed polymorphs, the calculation gives 478 meV/atom.